DFT (PBE) results for a relaxed structure of BSeI2O.

Summary:
The value obtained for the density of states at the Fermi level is 0.53 states/eV/atom. For the formation energy (no corrections), the calculation gives 0.11 eV per atom. As for the offset from the most stable computed form: 0.00 eV/f.u. As for the symmetry: No. 123. The magnetic moment comes out at 0.99 μB/cell.

Cell lengths 6.5920, 6.5920, 2.7907 Å; angles 90.00, 90.00, 90.00 degrees
With the nearest neighbours (Å) after each atom.
Element x y z (fractional)
B 0.0000 0.0000 0.0000  2 O 1.40
Se 0.5000 0.5000 0.5000  2 Se 2.79
I 0.0000 0.5000 0.0000  2 I 2.79
I 0.5000 0.0000 0.0000  2 I 2.79
O 0.0000 0.0000 0.5000  2 B 1.40